No. 1
Material: Rb2Li2PuS4
Method: DFT, PBE
State: optimized geometry

Output
E: -5.438 eV per atom
Symmetry: C2/m (12)
Formation energy (no corrections): -1371 meV per atom
Calculated volume: 224 Å³/cell

Geometry as extended XYZ:
```
9
Lattice="4.1398 0.0000 0.0000 0.0000 7.6833 0.3090 -2.0699 -2.7657 6.9223" Properties=species:S:1:pos:R:3 pbc="T T T"
Pu 0.0000 0.0000 0.0000
Rb 0.0000 3.5633 2.0921
Rb 2.0699 1.3543 5.1392
S 2.0699 5.9129 0.4783
S 2.0699 4.7633 4.5288
S 0.0000 -0.9953 6.7530
S 0.0000 0.1543 2.7025
Li 2.0699 6.6078 2.8207
Li 0.0000 -1.6903 4.4106
```



No. 2
Material: Tl2ZnOs
Method: DFT, PBE
State: optimized geometry

Output
ΔH_f (0 K): 3.3 eV/f.u.
E: -3.491 eV per atom
Symmetry: Cmmm (65)
Calculated volume: 87 Å³/cell
E above lowest polymorph: 287 meV/atom

Geometry as extended XYZ:
```
4
Lattice="-0.7738 -0.4070 -2.8660 0.2518 -2.4192 1.7501 -10.6139 0.8781 2.7409" Properties=species:S:1:pos:R:3 pbc="T T T"
Tl -5.5530 0.4594 1.4340
Tl -10.3678 0.8577 2.6774
Os -8.2214 -0.7545 1.4977
Zn -2.9145 -1.1936 0.1273
```



No. 3
Material: Y2FeHgC
Method: DFT, PBE
State: optimized geometry

Output
ΔH_f (0 K): -1.9 eV/f.u.
E: -6.566 eV per atom
Symmetry: P4/mmm (123)
Calculated volume: 95 Å³/cell

Geometry as extended XYZ:
```
5
Lattice="-1.5597 3.9610 -2.7122 -2.3091 -3.1192 -3.2275 -3.1003 0.1793 2.0447" Properties=species:S:1:pos:R:3 pbc="T T T"
Y -0.7798 1.9805 -1.3561
Y -1.1545 -1.5596 -1.6138
C 0.0000 0.0000 0.0000
Hg -3.4845 0.5106 -1.9475
Fe -1.5502 0.0897 1.0224
```



Number 1: DOS(E_F) 10.08 states/eV/cell. Number 2: DOS(E_F) 3.11 states/eV/cell. Number 3: DOS(E_F) 2.68 states/eV/cell.